Below is a relaxed Zn9CuRu2 crystal, with properties calculated at the PBE level.

Computed properties:
SG: P4/mmm, No. 123
ρ: 8.5 Mg/m³
Electronic total energy: -35.37 eV/f.u.
Formation energy from the elements: -104.9 meV per atom

abc: 3.788 3.788 11.665
angles: 90.00 90.00 90.00
Sites, in units of the cell vectors:
Zn1 0.500 0.500 0.000
Zn2 0.500 0.500 0.331
Zn3 0.500 0.500 0.669
Zn4 0.500 0.000 0.168
Zn5 0.500 0.000 0.500
Zn6 0.500 0.000 0.832
Zn7 0.000 0.500 0.168
Zn8 0.000 0.500 0.500
Zn9 0.000 0.500 0.832
Cu1 0.000 0.000 0.000
Ru1 0.000 0.000 0.340
Ru2 0.000 0.000 0.660

Below is a relaxed Zn6Cu5Ru crystal, with properties calculated at the PBE level.

Computed properties:
SG: Immm, No. 71
ρ: 8.5 Mg/m³
Electronic total energy: -38.24 eV/f.u.
Formation energy from the elements: -69.7 meV per atom

abc: 4.285 7.408 7.408
angles: 122.39 106.81 106.81
Sites, in units of the cell vectors:
Ru1 0.000 0.000 0.000
Zn1 0.250 0.081 0.418
Zn2 0.750 0.582 0.919
Zn3 0.754 0.254 0.254
Zn4 0.246 0.746 0.746
Zn5 0.250 0.418 0.081
Zn6 0.750 0.919 0.582
Cu1 0.500 0.164 0.836
Cu2 0.000 0.333 0.667
Cu3 0.500 0.500 0.500
Cu4 0.000 0.667 0.333
Cu5 0.500 0.836 0.164

Below is a relaxed ZnCu2Ru crystal, with properties calculated at the PBE level.

Computed properties:
SG: Pmmm, No. 47
ρ: 9.3 Mg/m³
Electronic total energy: -18.25 eV/f.u.
Formation energy from the elements: 123.9 meV per atom

abc: 2.581 3.842 5.277
angles: 90.00 90.00 90.00
Sites, in units of the cell vectors:
Cu1 0.000 0.000 0.000
Cu2 0.000 0.000 0.500
Ru1 0.500 0.500 0.250
Zn1 0.500 0.500 0.750

Below is a relaxed ZnCuRu crystal, with properties calculated at the PBE level.

Computed properties:
SG: I4mm, No. 107
ρ: 9.5 Mg/m³
Electronic total energy: -14.26 eV/f.u.
Formation energy from the elements: 129.4 meV per atom
Polymorph energy (0 for the lowest one): 54 kJ/mol of formula units

abc: 5.892 5.892 5.892
angles: 153.61 153.61 37.67
Site moments in Bohr magnetons follow the coordinates.
Sites, in units of the cell vectors:
Cu1 0.001 0.001 0.000  0.04
Ru1 0.335 0.335 0.000  0.85
Zn1 0.664 0.664 0.000  -0.01

Below is a relaxed ZnCuRu3 crystal, with properties calculated at the PBE level.

Computed properties:
SG: Pm-3m, No. 221
ρ: 7.7 Mg/m³
Electronic total energy: -24.40 eV/f.u.
Formation energy from the elements: 1760.2 meV per atom
Polymorph energy (0 for the lowest one): 79 kJ/mol of formula units

abc: 4.531 4.531 4.531
angles: 90.00 90.00 90.00
Site moments in Bohr magnetons follow the coordinates.
Sites, in units of the cell vectors:
Ru1 0.000 0.500 0.000  1.79
Ru2 0.000 0.000 0.500  2.08
Ru3 0.500 0.000 0.000  1.42
Zn1 0.000 0.000 0.000  0.03
Cu1 0.500 0.500 0.500  0.14

Below is a relaxed Zn2CuRu2 crystal, with properties calculated at the PBE level.

Computed properties:
SG: P4/mbm, No. 127
ρ: 8.8 Mg/m³
Electronic total energy: -23.74 eV/f.u.
Formation energy from the elements: 292.1 meV per atom
Polymorph energy (0 for the lowest one): 0 kJ/mol of formula units

abc: 6.542 6.542 3.490
angles: 90.00 90.00 90.00
Sites, in units of the cell vectors:
Ru1 0.369 0.869 0.000
Ru2 0.869 0.631 0.000
Ru3 0.631 0.131 0.000
Ru4 0.131 0.369 0.000
Zn1 0.171 0.671 0.500
Zn2 0.671 0.829 0.500
Zn3 0.829 0.329 0.500
Zn4 0.329 0.171 0.500
Cu1 0.000 0.000 0.000
Cu2 0.500 0.500 0.000

What did we get for calculated volume? Answer: 13.9, 13.2, 13.1, 13.5, 18.6, 14.9 Å³ per atom, in the order shown.